[1]
# Dy4Tl2InHg

Dy4Tl2InHg after structural relaxation (PBE, Alexandria).

CIF file:
```
data_Dy4Tl2InHg
_space_group_name_H-M_alt 'R -3 m'
_space_group_IT_number 166
_space_group_name_Hall '-R 3 2"'
_cell_length_a 5.3308
_cell_length_b 5.3308
_cell_length_c 26.0814
_cell_angle_alpha 90.00
_cell_angle_beta 90.00
_cell_angle_gamma 120.00
loop_
_atom_site_label
_atom_site_type_symbol
_atom_site_fract_x
_atom_site_fract_y
_atom_site_fract_z
Dy1 Dy 0.0000 0.0000 0.1239
Dy2 Dy 0.0000 0.0000 0.3740
Tl1 Tl 0.0000 0.0000 0.2507
In1 In 0.0000 0.0000 0.5000
Hg1 Hg 0.0000 0.0000 0.0000
```

Properties
ΔE_f: -402 meV/atom
E_tot: -3.6751 eV per atom

[2]
# PmAl3Ni2

PmAl3Ni2 after structural relaxation (PBE, Alexandria).

CIF file:
```
data_PmAl3Ni2
_space_group_name_H-M_alt 'C m c m'
_space_group_IT_number 63
_space_group_name_Hall '-C 2c 2'
_cell_length_a 10.004
_cell_length_b 7.819
_cell_length_c 5.123
_cell_angle_alpha 90.00
_cell_angle_beta 90.00
_cell_angle_gamma 90.00
loop_
_atom_site_label
_atom_site_type_symbol
_atom_site_fract_x
_atom_site_fract_y
_atom_site_fract_z
Pm1 Pm 0.000 0.157 0.250
Al1 Al 0.000 0.443 0.750
Al2 Al 0.194 0.221 0.750
Ni1 Ni 0.203 0.500 0.000
```

Properties
ΔE_f: -625 meV/atom
E_tot: -5.2156 eV per atom

Repeat the first record exactly.
# Dy4Tl2InHg

Dy4Tl2InHg after structural relaxation (PBE, Alexandria).

CIF file:
```
data_Dy4Tl2InHg
_space_group_name_H-M_alt 'R -3 m'
_space_group_IT_number 166
_space_group_name_Hall '-R 3 2"'
_cell_length_a 5.3308
_cell_length_b 5.3308
_cell_length_c 26.0814
_cell_angle_alpha 90.00
_cell_angle_beta 90.00
_cell_angle_gamma 120.00
loop_
_atom_site_label
_atom_site_type_symbol
_atom_site_fract_x
_atom_site_fract_y
_atom_site_fract_z
Dy1 Dy 0.0000 0.0000 0.1239
Dy2 Dy 0.0000 0.0000 0.3740
Tl1 Tl 0.0000 0.0000 0.2507
In1 In 0.0000 0.0000 0.5000
Hg1 Hg 0.0000 0.0000 0.0000
```

Properties
ΔE_f: -402 meV/atom
E_tot: -3.6751 eV per atom